(1)
Density functional theory data (GGA-PBEsol) for a relaxed structure of Ce3Te4.

Output
* formation energy without anion corrections: -9.5 eV per formula unit
* space-group type: No. 220
* VASP energy: -6.194 eV/atom

a = 8.082 Å, b = 8.082 Å, c = 8.082 Å
α = 109.47°, β = 109.47°, γ = 109.47°
Each line ends with the local moment (μB).
Fractional coordinates of all 14 atoms:
Ce (0.875, 0.750, 0.625)  1.08
Ce (0.750, 0.125, 0.375)  1.08
Te (0.845, 0.000, 0.000)  -0.02
Ce (0.250, 0.375, 0.125)  1.08
Te (0.655, 0.655, 0.155)  -0.02
Te (0.155, 0.155, 0.655)  -0.02
Ce (0.375, 0.625, 0.750)  1.08
Ce (0.125, 0.875, 0.250)  1.08
Te (0.500, 0.845, 0.500)  -0.02
Te (0.000, 0.500, 0.845)  -0.02
Te (0.345, 0.000, 0.000)  -0.02
Ce (0.625, 0.250, 0.875)  1.08
Te (0.000, 0.500, 0.345)  -0.02
Te (0.500, 0.345, 0.500)  -0.02

=====

(2)
Density functional theory data (GGA-PBEsol) for a relaxed structure of TiB3Se.

Output
* formation energy without anion corrections: 8.7 eV per formula unit
* space-group type: No. 221
* VASP energy: -4.900 eV/atom

a = 4.006 Å, b = 4.006 Å, c = 4.006 Å
α = 90.00°, β = 90.00°, γ = 90.00°
Fractional coordinates of all 5 atoms:
Se (0.000, 0.000, 0.000)
B (0.000, 0.000, 0.500)
B (0.500, 0.000, 0.000)
Ti (0.500, 0.500, 0.500)
B (0.000, 0.500, 0.000)

=====

(3)
Density functional theory data (GGA-PBEsol) for a relaxed structure of Cr2RuPb.

Output
* space-group type: No. 160
* VASP energy: -7.983 eV/atom
* formation enthalpy at 0 K: 0.680 eV per atom

a = 2.935 Å, b = 2.935 Å, c = 8.368 Å
α = 79.90°, β = 79.90°, γ = 60.00°
Fractional coordinates of all 4 atoms:
Cr (0.005, 0.005, 0.985)
Pb (0.499, 0.499, 0.502)
Ru (0.262, 0.262, 0.215)
Cr (0.734, 0.734, 0.798)

=====

(4)
Density functional theory data (GGA-PBEsol) for a relaxed structure of Er2Si3.

Output
* formation energy without anion corrections: -3.3 eV per formula unit
* space-group type: No. 25
* VASP energy: -6.088 eV/atom

a = 3.805 Å, b = 3.923 Å, c = 6.669 Å
α = 90.00°, β = 90.00°, γ = 90.00°
Fractional coordinates of all 5 atoms:
Er (0.000, 0.500, 0.004)
Er (0.500, 0.500, 0.494)
Si (0.500, 0.000, 0.807)
Si (0.500, 0.000, 0.156)
Si (0.000, 0.000, 0.367)

=====

(5)
Density functional theory data (GGA-PBEsol) for a relaxed structure of Te2HPtN.

Output
* space-group type: No. 123
* VASP energy: -4.385 eV/atom

a = 2.837 Å, b = 5.115 Å, c = 5.115 Å
α = 90.00°, β = 90.00°, γ = 90.00°
Fractional coordinates of all 5 atoms:
Te (0.000, 0.000, 0.500)
Pt (0.500, 0.500, 0.500)
H (0.000, 0.000, 0.000)
Te (0.000, 0.500, 0.000)
N (0.500, 0.000, 0.000)

=====

(6)
Density functional theory data (GGA-PBEsol) for a relaxed structure of Mg3Cd.

Output
* space-group type: No. 47
* VASP energy: -1.640 eV/atom
* formation enthalpy at 0 K: -0.053 eV per atom

a = 3.213 Å, b = 4.236 Å, c = 6.345 Å
α = 90.00°, β = 90.00°, γ = 90.00°
Fractional coordinates of all 4 atoms:
Mg (0.500, 0.500, 0.756)
Cd (0.000, 0.000, 0.000)
Mg (0.500, 0.500, 0.244)
Mg (0.000, 0.000, 0.500)

=====

(7)
Density functional theory data (GGA-PBEsol) for a relaxed structure of MnAgCl2.

Output
* formation energy without anion corrections: -1.4 eV per formula unit
* space-group type: No. 38
* VASP energy: -4.612 eV/atom

a = 3.366 Å, b = 3.736 Å, c = 6.923 Å
α = 105.66°, β = 90.00°, γ = 90.00°
Each line ends with the local moment (μB).
Fractional coordinates of all 4 atoms:
Ag (0.500, 0.571, 0.142)  -0.02
Cl (0.000, 0.986, 0.972)  -0.01
Mn (0.000, 0.160, 0.320)  3.83
Cl (0.500, 0.283, 0.566)  0.04

=====

(8)
Density functional theory data (GGA-PBEsol) for a relaxed structure of ScAgSe.

Output
* formation energy without anion corrections: -2.0 eV per formula unit
* space-group type: No. 107
* VASP energy: -5.269 eV/atom

a = 3.334 Å, b = 3.334 Å, c = 5.843 Å
α = 106.58°, β = 106.58°, γ = 90.00°
Fractional coordinates of all 3 atoms:
Sc (0.686, 0.686, 0.373)
Ag (0.005, 0.005, 0.009)
Se (0.309, 0.309, 0.618)

=====

The lowest VASP energy belongs to which entry?
Cr2RuPb

=====

VASP energy of number 4 (Er2Si3)?
-6.088 eV/atom

=====

VASP energy of number 8 (ScAgSe)?
-5.269 eV/atom